Computed, not measured: a relaxed structure of SrMgSc2 at the PBE level of DFT.

Cell: 11.894 3.580 5.800 Å, 90.00 108.59 90.00°
Space group Cm (No. 8)
One atom of each set of equivalent atoms:
1 Sr 0.000 0.000 0.000 (multiplicity 2)
2 Mg 0.246 0.000 0.810 (multiplicity 2)
3 Sc 0.024 0.500 0.508 (multiplicity 2)
4 Sc 0.285 0.500 0.355 (multiplicity 2)

Computed, not measured: a relaxed structure of SrMg2Sc at the PBE level of DFT.

Cell: 7.762 7.762 7.762 Å, 90.00 90.00 90.00°
Space group Fm-3m (No. 225)
One atom of each set of equivalent atoms:
1 Sr 0.000 0.000 0.000 (multiplicity 4)
2 Mg 0.250 0.250 0.250 (multiplicity 8)
3 Sc 0.000 0.000 0.500 (multiplicity 4)

- Polymorph energy (0 for the lowest one): 0.28 eV/f.u.

Computed, not measured: a relaxed structure of Sr3MgSc at the PBE level of DFT.

Cell: 6.358 6.358 6.358 Å, 90.00 90.00 90.00°
Space group Pm-3m (No. 221)
One atom of each set of equivalent atoms:
1 Sr 0.000 0.000 0.500 (multiplicity 3)
2 Mg 0.500 0.500 0.500 (multiplicity 1)
3 Sc 0.000 0.000 0.000 (multiplicity 1)

- Polymorph energy (0 for the lowest one): 0.47 eV/f.u.

Computed, not measured: a relaxed structure of SrMg2Sc at the PBE level of DFT.

Cell: 7.713 7.713 7.713 Å, 90.00 90.00 90.00°
Space group F-43m (No. 216)
One atom of each set of equivalent atoms:
1 Sr 0.000 0.000 0.000 (multiplicity 4)
2 Mg 0.000 0.000 0.500 (multiplicity 4)
3 Mg 0.250 0.250 0.250 (multiplicity 4)
4 Sc 0.250 0.250 0.750 (multiplicity 4)

- Polymorph energy (0 for the lowest one): 0.72 eV/f.u.

Computed, not measured: a relaxed structure of SrMg2Sc at the PBE level of DFT.

Cell: 3.825 3.841 7.948 Å, 90.00 90.00 90.00°
Space group Pmmm (No. 47)
One atom of each set of equivalent atoms:
1 Sr 0.000 0.000 0.000 (multiplicity 1)
2 Mg 0.500 0.500 0.297 (multiplicity 2)
3 Sc 0.000 0.000 0.500 (multiplicity 1)

- Polymorph energy (0 for the lowest one): 0.00 eV/f.u.

Computed, not measured: a relaxed structure of SrMgSc4 at the PBE level of DFT.

Cell: 8.859 8.859 8.859 Å, 90.00 90.00 90.00°
Space group F-43m (No. 216)
One atom of each set of equivalent atoms:
1 Sr 0.000 0.000 0.000 (multiplicity 4)
2 Mg 0.250 0.250 0.750 (multiplicity 4)
3 Sc 0.123 0.123 0.377 (multiplicity 16)

Computed, not measured: a relaxed structure of SrMg2Sc at the PBE level of DFT.

Cell: 10.774 3.469 6.656 Å, 90.00 99.33 90.00°
Space group C2/m (No. 12)
One atom of each set of equivalent atoms:
1 Sr 0.000 0.000 0.000 (multiplicity 2)
2 Mg 0.241 0.000 0.700 (multiplicity 4)
3 Sc 0.000 0.500 0.500 (multiplicity 2)

- Polymorph energy (0 for the lowest one): 0.67 eV/f.u.

Computed, not measured: a relaxed structure of SrMgSc2 at the PBE level of DFT.

Cell: 4.779 4.779 5.156 Å, 90.00 90.00 90.00°
Space group P4/mmm (No. 123)
One atom of each set of equivalent atoms:
1 Sr 0.000 0.000 0.000 (multiplicity 1)
2 Mg 0.500 0.500 0.000 (multiplicity 1)
3 Sc 0.000 0.500 0.500 (multiplicity 2)

Number 1: raw total energy -3.7541 eV per atom, formation energy 0.2308 eV per atom. Number 2: raw total energy -2.7315 eV per atom, formation energy 0.0692 eV per atom. Number 3: raw total energy -1.9099 eV per atom, formation energy 0.6844 eV per atom. Number 4: raw total energy -2.6204 eV per atom, formation energy 0.1802 eV per atom. Number 5: raw total energy -2.8010 eV per atom, formation energy -0.0004 eV per atom. Number 6: raw total energy -4.4980 eV per atom, formation energy 0.2691 eV per atom. Number 7: raw total energy -2.6334 eV per atom, formation energy 0.1673 eV per atom. Number 8: raw total energy -3.7303 eV per atom, formation energy 0.2546 eV per atom.